1.
## BaZrRh2 (PBE-GGA)

Data for crystalline BaZrRh2 at its relaxed geometry.

Geometry as POSCAR:
```
BaZrRh2
1.0
7.577 0.000 0.000
0.000 7.577 0.000
3.789 3.789 3.423
Rh Ba Zr
4 2 2
Direct
0.575 0.125 0.250
0.175 0.625 0.250
0.375 0.425 0.750
0.875 0.825 0.750
0.000 0.000 0.000
0.750 0.250 0.500
0.500 0.500 0.000
0.250 0.750 0.500
```

ΔE_f (meV per atom): -12
Theoretical density (Mg/m³): 7.341


2.
## YMgPt2 (PBE-GGA)

Data for crystalline YMgPt2 at its relaxed geometry.

Geometry as POSCAR:
```
YMgPt2
1.0
-2.203 -4.190 -0.381
2.541 -3.982 -0.493
0.221 -3.132 3.564
Mg Pt Y
1 2 1
Direct
0.500 0.500 0.500
0.000 0.000 0.000
0.250 0.250 0.250
0.750 0.750 0.750
```

ΔE_f (meV per atom): -672
Theoretical density (Mg/m³): 11.034


3.
## ThTlSn2 (PBE-GGA)

Data for crystalline ThTlSn2 at its relaxed geometry.

Geometry as POSCAR:
```
ThTlSn2
1.0
5.541 0.000 0.000
2.771 4.799 0.000
2.771 1.600 4.400
Tl Sn Th
1 2 1
Direct
0.000 0.000 0.000
0.753 0.753 0.742
0.247 0.247 0.258
0.500 0.500 0.500
```

Energy above the most stable polymorph in this dataset (meV per atom): 315
ΔE_f (meV per atom): -44
Theoretical density (Mg/m³): 9.564


4.
## AlNiRu2C (PBE-GGA)

Data for crystalline AlNiRu2C at its relaxed geometry.

Geometry as POSCAR:
```
AlNiRu2C
1.0
-0.896 3.949 0.065
-3.634 -0.850 1.572
1.419 0.265 3.425
Ru C Al Ni
2 1 1 1
Direct
0.000 0.500 0.000
0.500 0.000 0.000
0.000 0.000 0.000
0.500 0.500 0.500
0.000 0.000 0.500
```

ΔE_f (meV per atom): -140
Theoretical density (Mg/m³): 8.167


5.
## Dy2TlHg3 (PBE-GGA)

Data for crystalline Dy2TlHg3 at its relaxed geometry.

Geometry as POSCAR:
```
Dy2TlHg3
1.0
6.018 -0.983 0.000
-1.216 5.976 0.000
-2.401 -2.497 8.623
Dy Tl Hg
4 2 6
Direct
0.250 0.750 0.500
0.752 0.752 0.000
0.750 0.250 0.500
0.248 0.248 0.000
0.667 0.667 0.334
0.333 0.333 0.666
0.331 0.834 0.165
0.166 0.669 0.835
0.669 0.166 0.835
0.834 0.331 0.165
0.165 0.165 0.330
0.835 0.835 0.670
```

Energy above the most stable polymorph in this dataset (meV per atom): 0
ΔE_f (meV per atom): -323
Theoretical density (Mg/m³): 12.530